1.
20
Lattice="7.5483 0.0000 0.0000 -2.5161 7.1166 0.0000 -2.5161 -3.5583 6.1631" Properties=species:S:1:pos:R:3 comment="Rb4Pu3AuO12 (PBE-GGA, relaxed)" formation_energy_uncorrected_mev_per_atom=-2110 pbc="T T T"
O 3.6096 -2.5524 4.4209
O 3.6096 5.1048 0.0000
O -1.4225 1.0059 1.7422
O -1.2580 0.8896 4.6223
O -1.2580 3.5583 3.0816
O 3.7741 0.0000 3.0816
O 1.4225 -1.0059 1.7422
O -3.6096 2.5524 4.4209
O 1.2580 -0.8896 4.6223
O 3.7741 2.6687 1.5408
O 1.4225 2.0118 0.0000
O 1.2580 4.4479 1.5408
Au 0.0000 0.0000 0.0000
Pu 2.5161 3.5583 0.0000
Pu 2.5161 -1.7791 3.0816
Pu -2.5161 1.7791 3.0816
Rb 3.7741 0.0000 0.0000
Rb -1.2580 -1.7791 3.0816
Rb 1.2580 1.7791 3.0816
Rb -1.2580 3.5583 0.0000



2.
4
Lattice="4.5181 0.0000 0.0000 0.0000 2.8022 -0.0099 0.0000 0.6045 4.7140" Properties=species:S:1:pos:R:3 comment="ScNiOs2 (PBE-GGA, relaxed)" formation_enthalpy_0k_mev_per_atom=35 pbc="T T T"
Os 0.0000 1.8721 2.4168
Os 0.0000 3.2381 4.6393
Ni 2.2591 2.5551 3.5280
Sc 2.2591 0.8517 1.1760



3.
5
Lattice="5.6448 0.0000 0.0000 0.0000 6.0528 0.0000 0.0000 0.0000 5.6448" Properties=species:S:1:pos:R:3 comment="RbLaMoI2 (PBE-GGA, relaxed)" formation_energy_uncorrected_mev_per_atom=705 pbc="T T T"
I 0.0000 0.0000 2.8224
I 2.8224 0.0000 0.0000
Rb 0.0000 3.0264 0.0000
Mo 0.0000 0.0000 0.0000
La 2.8224 3.0264 2.8224



4.
10
Lattice="0.0000 5.7526 7.5037 2.2227 0.0000 7.5037 2.2227 5.7526 0.0000" Properties=species:S:1:pos:R:3 comment="Ag2P3 (PBE-GGA, relaxed)" formation_enthalpy_0k_mev_per_atom=194 pbc="T T T"
P 2.2100 2.8763 3.7519
P 1.9836 1.6180 6.9656
P 0.8722 1.2583 3.2137
P 1.9836 9.8872 8.0419
P 1.0987 5.7526 7.5037
P 0.8722 4.4943 4.2900
Ag 2.4681 5.4325 9.5507
Ag 3.5795 8.9490 13.3025
Ag 3.5795 8.3088 9.2087
Ag 2.4681 6.0727 5.4568



5.
6
Lattice="-4.1103 -0.9334 -2.0970 -1.8415 -4.3255 0.2502 -3.8473 -0.7736 2.6007" Properties=species:S:1:pos:R:3 comment="Fe2Ir (PBE-GGA, relaxed)" formation_enthalpy_0k_mev_per_atom=52 pbc="T T T"
Fe -3.9788 -0.8535 0.2518
Fe -4.8995 -3.0162 0.3770
Fe -1.9236 -0.3868 1.3004
Fe -2.0552 -0.4667 -1.0485
Ir -7.6535 -3.1157 0.5346
Ir -2.1456 -2.9168 0.2194



6.
12
Lattice="-1.6437 3.4774 1.2036 -2.7417 -0.2778 -2.9409 -11.0591 -5.6942 8.0891" Properties=species:S:1:pos:R:3 comment="PmTe2P2Pt7 (PBE-GGA, relaxed)" formation_energy_uncorrected_mev_per_atom=-635 pbc="T T T"
Te -7.3675 -2.6578 4.3599
Te -8.0769 0.1632 1.9919
Pt -4.9341 0.3327 -0.9536
Pt -2.1927 1.5998 -0.8686
Pt -4.3851 2.2102 1.1186
Pt -9.7225 -1.1919 3.6557
Pt -5.7220 -1.3026 2.6961
Pt -10.5104 -2.8272 7.3055
Pt -11.0593 -4.7047 5.2332
P -4.3333 -0.1615 1.2943
P -11.1112 -2.3330 5.0575
Pm 0.0000 0.0000 0.0000



7.
27
Lattice="-5.0354 1.3590 -1.7110 2.5613 -2.3567 -9.4099 -3.9345 -6.9888 6.0281" Properties=species:S:1:pos:R:3 comment="Hg2RhF6 (PBE-GGA, relaxed)" formation_energy_uncorrected_mev_per_atom=-1362 pbc="T T T"
Rh 0.0000 0.0000 0.0000
Rh -4.0667 -4.8247 0.1014
Rh -2.3419 -3.1618 -5.1942
F -1.2063 -4.5211 -6.0289
F -2.9141 -6.2167 -0.7601
F -1.9171 -3.8671 -3.4177
F -0.8253 -1.9277 -5.0905
F -4.6682 -0.5189 -1.1407
F -0.7797 -0.9291 -1.5861
F -3.6438 -5.5452 1.9209
F -7.4209 -5.4085 3.0768
F -5.2023 -3.4654 0.9362
F -3.8858 -4.4324 -5.2962
F -5.5834 -6.0587 -0.0023
F 1.0123 -2.5779 -8.1695
F -3.4946 -1.7697 -4.3327
F -2.7648 -2.4412 -7.0137
F -4.4915 -4.1194 -1.6751
F -2.5228 -3.5540 0.2034
F -5.6289 -7.0573 -3.5067
F -1.7404 -7.4675 -3.9521
Hg 1.6295 -1.4994 -5.9868
Hg -1.4313 -2.5423 2.1929
Hg -2.5032 -4.4464 3.8352
Hg -0.4995 -3.3996 -1.2302
Hg -0.8737 -5.9458 -2.1516
Hg 0.9317 -0.8573 -3.4231



8.
5
Lattice="6.7084 0.0000 0.0000 0.0000 6.7084 0.0000 0.0000 0.0000 6.7084" Properties=species:S:1:pos:R:3 comment="Cs3VIn (PBE-GGA, relaxed)" formation_enthalpy_0k_mev_per_atom=949 pbc="T T T"
V 0.0000 0.0000 0.0000
Cs 3.3542 0.0000 0.0000
Cs 0.0000 3.3542 0.0000
Cs 0.0000 0.0000 3.3542
In 3.3542 3.3542 3.3542



9.
5
Lattice="-3.8251 -1.8413 2.6664 -0.9318 -3.3259 -3.6333 3.1035 -3.2679 2.1955" Properties=species:S:1:pos:R:3 comment="Zr3InRu (PBE-GGA, relaxed)" formation_enthalpy_0k_mev_per_atom=157 pbc="T T T"
Zr 1.5518 -1.6339 1.0978
Zr -0.4659 -1.6630 -1.8167
Zr -1.9125 -0.9206 1.3332
In -0.8266 -4.2175 0.6143
Ru 0.0000 0.0000 0.0000



10.
4
Lattice="2.5810 -0.0052 0.0000 -0.8811 2.4259 0.0000 0.0000 0.0000 8.3902" Properties=species:S:1:pos:R:3 comment="ZnCr2Tc (PBE-GGA, relaxed)" formation_enthalpy_0k_mev_per_atom=131 pbc="T T T"
Zn 0.8499 1.2104 6.3681
Cr 0.8499 1.2104 1.9958
Cr 0.0000 0.0000 0.1420
Tc 0.0000 0.0000 4.0794



11.
SnHSe: relaxed, PBE-GGA.

Geometry as extended XYZ:
```
12
Lattice="-5.6060 1.2666 0.0473 -0.8386 -3.7277 0.4349 2.1130 0.8532 11.3863" Properties=species:S:1:pos:R:3 pbc="T T T"
Sn -0.6338 -1.5694 2.3275
Sn 0.8420 0.7210 7.8032
Sn -1.3176 -0.4404 10.6862
Sn -1.9548 0.9969 4.7756
H 0.4830 -1.0742 8.7250
H -0.1542 0.3630 2.8144
H -4.6589 -0.8759 0.5106
H -3.1831 1.4145 5.9863
Se -0.6137 -1.1783 5.7182
Se 0.8620 1.1121 11.1939
Se -1.7694 1.4167 8.7312
Se -3.2452 -0.8737 3.2556
```



12.
CaH2S: relaxed, PBE-GGA.

Geometry as extended XYZ:
```
4
Lattice="-2.7295 2.2487 -1.7392 -3.7385 -0.1248 1.2408 -1.4868 3.2799 2.1090" Properties=species:S:1:pos:R:3 pbc="T T T"
H -6.0142 3.8682 1.0445
H -1.9406 1.5357 0.5661
S -3.9774 2.7019 0.8053
Ca 0.0000 0.0000 0.0000
```



Number 1: DFT total energy -7.592 eV/atom. Number 2: DFT total energy -8.608 eV/atom. Number 3: DFT total energy -3.260 eV/atom. Number 4: DFT total energy -4.192 eV/atom. Number 5: DFT total energy -8.543 eV/atom. Number 6: DFT total energy -5.980 eV/atom. Number 7: DFT total energy -3.493 eV/atom. Number 8: DFT total energy -1.935 eV/atom. Number 9: DFT total energy -7.374 eV/atom. Number 10: DFT total energy -7.590 eV/atom. Number 11: DFT total energy -3.628 eV/atom. Number 12: DFT total energy -3.483 eV/atom.